Material: GdNiB4
Method: DFT, GGA-PBE
State: optimized geometry

Values from the calculation:
V in Å³/f.u.: 61.08
E above lowest polymorph in meV per atom: 0
Total DFT energy (no corrections) in eV/atom: -6.731
Crystal system: tetragonal
Space group: I4/mmm, No. 139
Magnetization in μB per atom: 0.000

Lattice parameters (Å, degrees): 6.8442 6.8442 6.8442 102.79 112.91 112.91
Atoms (fractional coordinates):
Gd: 0.5000 0.7500 0.2500
Gd: 0.0000 0.2034 0.2034
Gd: 0.0000 0.7966 0.7966
Gd: 0.5000 0.2500 0.7500
B: 0.1639 0.2755 0.8884
B: 0.4682 0.8866 0.8866
B: 0.4682 0.5817 0.5817
B: 0.6128 0.8884 0.7245
B: 0.5318 0.1134 0.1134
B: 0.0000 0.4183 0.8866
B: 0.8361 0.1116 0.7245
B: 0.1639 0.8884 0.2755
B: 0.0000 0.8866 0.4183
B: 0.5318 0.4183 0.4183
B: 0.3872 0.1116 0.2755
B: 0.0000 0.1134 0.5817
B: 0.3872 0.2755 0.1116
B: 0.8361 0.7245 0.1116
B: 0.6128 0.7245 0.8884
B: 0.0000 0.5817 0.1134
Ni: 0.7717 0.5000 0.2717
Ni: 0.2283 0.7283 0.5000
Ni: 0.7717 0.2717 0.5000
Ni: 0.2283 0.5000 0.7283

---

Material: TbNdZn2Sn2
Method: DFT, GGA-PBE
State: optimized geometry

Values from the calculation:
V in Å³/f.u.: 145.43
E above lowest polymorph in meV per atom: 109
Total DFT energy (no corrections) in eV/atom: -3.844
Crystal system: tetragonal
Space group: I4mm, No. 107
Magnetization in μB per atom: 0.000

Lattice parameters (Å, degrees): 8.2114 8.2114 8.2114 149.12 149.12 44.24
Atoms (fractional coordinates):
Nd: 0.6586 0.6586 0.0000
Zn: 0.9989 0.4989 0.5000
Zn: 0.4989 0.9989 0.5000
Tb: 0.3430 0.3430 0.0000
Sn: 0.8691 0.8691 0.0000
Sn: 0.1314 0.1314 0.0000

---

Material: HoTa
Method: DFT, GGA-PBE
State: optimized geometry

Values from the calculation:
V in Å³/f.u.: 45.61
E above lowest polymorph in meV per atom: 0
Total DFT energy (no corrections) in eV/atom: -7.757
Crystal system: hexagonal
Space group: P-6m2, No. 187
Magnetization in μB per atom: 0.004
Energy of formation from the pure elements in eV per atom: 0.46

Lattice parameters (Å, degrees): 3.1676 3.1676 5.2491 90.00 90.00 120.00
Atoms (fractional coordinates):
Ta: 0.3333 0.6667 0.2500
Ho: 0.6667 0.3333 0.7500